# 1
Below is a crystal of NiWAu2 relaxed with PBEsol, with properties calculated at the meta-GGA SCAN level.

```
data_NiWAu2
_chemical_formula_sum 'Ni1 W1 Au2'
_symmetry_space_group_name_H-M 'P 4/m m m'
_symmetry_Int_Tables_number 123
_symmetry_space_group_name_Hall '-P 4 2'
_cell_length_a 4.741
_cell_length_b 4.741
_cell_length_c 2.734
_cell_angle_alpha 90.00
_cell_angle_beta 90.00
_cell_angle_gamma 90.00
loop_
_atom_site_label
_atom_site_type_symbol
_atom_site_fract_x
_atom_site_fract_y
_atom_site_fract_z
Ni1 Ni 0.000 0.000 0.000
W1 W 0.500 0.500 0.000
Au1 Au 0.000 0.500 0.500
```

Results
Calculated total energy (hartree per atom): -2.045
Distance to the lowest polymorph of the same formula (meV per atom): 4


# 2
Below is a crystal of Ni2WAu relaxed with PBEsol, with properties calculated at the meta-GGA SCAN level.

```
data_Ni2WAu
_chemical_formula_sum 'Ni2 W1 Au1'
_symmetry_space_group_name_H-M 'P 4/m m m'
_symmetry_Int_Tables_number 123
_symmetry_space_group_name_Hall '-P 4 2'
_cell_length_a 2.695
_cell_length_b 2.695
_cell_length_c 7.329
_cell_angle_alpha 90.00
_cell_angle_beta 90.00
_cell_angle_gamma 90.00
loop_
_atom_site_label
_atom_site_type_symbol
_atom_site_fract_x
_atom_site_fract_y
_atom_site_fract_z
Ni1 Ni 0.000 0.000 0.239
W1 W 0.500 0.500 0.000
Au1 Au 0.500 0.500 0.500
```

Results
Calculated total energy (hartree per atom): -1.571
Distance to the lowest polymorph of the same formula (meV per atom): 0


# 3
Below is a crystal of Ni6WAu relaxed with PBEsol, with properties calculated at the meta-GGA SCAN level.

```
data_Ni6WAu
_chemical_formula_sum 'Ni48 W8 Au8'
_symmetry_space_group_name_H-M 'C m m m'
_symmetry_Int_Tables_number 65
_symmetry_space_group_name_Hall '-C 2 2'
_cell_length_a 7.217
_cell_length_b 10.194
_cell_length_c 10.232
_cell_angle_alpha 90.00
_cell_angle_beta 90.00
_cell_angle_gamma 90.00
loop_
_atom_site_label
_atom_site_type_symbol
_atom_site_fract_x
_atom_site_fract_y
_atom_site_fract_z
Ni1 Ni 0.000 0.000 0.000
Ni2 Ni 0.000 0.000 0.500
Ni3 Ni 0.000 0.246 0.242
Ni4 Ni 0.000 0.500 0.000
Ni5 Ni 0.000 0.500 0.500
Ni6 Ni 0.242 0.123 0.370
Ni7 Ni 0.246 0.127 0.121
W1 W 0.000 0.000 0.255
W2 W 0.000 0.247 0.000
Au1 Au 0.000 0.254 0.500
Au2 Au 0.000 0.500 0.251
```

Results
Calculated total energy (hartree per atom): -1.083


# 4
Below is a crystal of NiWAu2 relaxed with PBEsol, with properties calculated at the meta-GGA SCAN level.

```
data_NiWAu2
_chemical_formula_sum 'Ni2 W2 Au4'
_symmetry_space_group_name_H-M 'I 4/m m m'
_symmetry_Int_Tables_number 139
_symmetry_space_group_name_Hall '-I 4 2'
_cell_length_a 4.014
_cell_length_b 4.014
_cell_length_c 7.407
_cell_angle_alpha 90.00
_cell_angle_beta 90.00
_cell_angle_gamma 90.00
loop_
_atom_site_label
_atom_site_type_symbol
_atom_site_fract_x
_atom_site_fract_y
_atom_site_fract_z
Ni1 Ni 0.000 0.000 0.000
W1 W 0.000 0.000 0.500
Au1 Au 0.000 0.500 0.250
```

Results
Calculated total energy (hartree per atom): -2.045
Distance to the lowest polymorph of the same formula (meV per atom): 0


# 5
Below is a crystal of Ni2WAu relaxed with PBEsol, with properties calculated at the meta-GGA SCAN level.

```
data_Ni2WAu
_chemical_formula_sum 'Ni4 W2 Au2'
_symmetry_space_group_name_H-M 'A m m 2'
_symmetry_Int_Tables_number 38
_symmetry_space_group_name_Hall 'A 2 -2'
_cell_length_a 4.054
_cell_length_b 2.655
_cell_length_c 9.787
_cell_angle_alpha 90.00
_cell_angle_beta 90.00
_cell_angle_gamma 90.00
loop_
_atom_site_label
_atom_site_type_symbol
_atom_site_fract_x
_atom_site_fract_y
_atom_site_fract_z
Ni1 Ni 0.000 0.000 0.000
Ni2 Ni 0.500 0.000 0.132
W1 W 0.000 0.000 0.731
Au1 Au 0.500 0.000 0.392
```

Results
Calculated total energy (hartree per atom): -1.566
Distance to the lowest polymorph of the same formula (meV per atom): 143


# 6
Below is a crystal of Ni2WAu relaxed with PBEsol, with properties calculated at the meta-GGA SCAN level.

```
data_Ni2WAu
_chemical_formula_sum 'Ni6 W3 Au3'
_symmetry_space_group_name_H-M 'R -3 m'
_symmetry_Int_Tables_number 166
_symmetry_space_group_name_Hall '-R 3 2"'
_cell_length_a 2.7200
_cell_length_b 2.7200
_cell_length_c 25.4718
_cell_angle_alpha 90.00
_cell_angle_beta 90.00
_cell_angle_gamma 120.00
loop_
_atom_site_label
_atom_site_type_symbol
_atom_site_fract_x
_atom_site_fract_y
_atom_site_fract_z
Ni1 Ni 0.0000 0.0000 0.2469
W1 W 0.0000 0.0000 0.5000
Au1 Au 0.0000 0.0000 0.0000
```

Results
Calculated total energy (hartree per atom): -1.565
Distance to the lowest polymorph of the same formula (meV per atom): 149


# 7
Below is a crystal of YNi4Au relaxed with PBEsol, with properties calculated at the meta-GGA SCAN level.

```
data_YNi4Au
_chemical_formula_sum 'Y4 Ni16 Au4'
_symmetry_space_group_name_H-M 'F -4 3 m'
_symmetry_Int_Tables_number 216
_symmetry_space_group_name_Hall 'F -4 2 3'
_cell_length_a 6.863
_cell_length_b 6.863
_cell_length_c 6.863
_cell_angle_alpha 90.00
_cell_angle_beta 90.00
_cell_angle_gamma 90.00
loop_
_atom_site_label
_atom_site_type_symbol
_atom_site_fract_x
_atom_site_fract_y
_atom_site_fract_z
Y1 Y 0.000 0.000 0.000
Ni1 Ni 0.124 0.124 0.376
Au1 Au 0.250 0.250 0.750
```

Results
Calculated total energy (hartree per atom): -1.004


# 8
Below is a crystal of Y2Ni2Au relaxed with PBEsol, with properties calculated at the meta-GGA SCAN level.

```
data_Y2Ni2Au
_chemical_formula_sum 'Y4 Ni4 Au2'
_symmetry_space_group_name_H-M 'P 4/m b m'
_symmetry_Int_Tables_number 127
_symmetry_space_group_name_Hall '-P 4 2ab'
_cell_length_a 7.017
_cell_length_b 7.017
_cell_length_c 3.689
_cell_angle_alpha 90.00
_cell_angle_beta 90.00
_cell_angle_gamma 90.00
loop_
_atom_site_label
_atom_site_type_symbol
_atom_site_fract_x
_atom_site_fract_y
_atom_site_fract_z
Y1 Y 0.179 0.321 0.000
Ni1 Ni 0.119 0.619 0.500
Au1 Au 0.000 0.000 0.500
```

Results
Calculated total energy (hartree per atom): -1.179


# 9
Below is a crystal of ZnNi2Au relaxed with PBEsol, with properties calculated at the meta-GGA SCAN level.

```
data_ZnNi2Au
_chemical_formula_sum 'Zn2 Ni4 Au2'
_symmetry_space_group_name_H-M 'I 4/m m m'
_symmetry_Int_Tables_number 139
_symmetry_space_group_name_Hall '-I 4 2'
_cell_length_a 3.808
_cell_length_b 3.808
_cell_length_c 6.975
_cell_angle_alpha 90.00
_cell_angle_beta 90.00
_cell_angle_gamma 90.00
loop_
_atom_site_label
_atom_site_type_symbol
_atom_site_fract_x
_atom_site_fract_y
_atom_site_fract_z
Zn1 Zn 0.000 0.000 0.000
Ni1 Ni 0.000 0.500 0.250
Au1 Au 0.000 0.000 0.500
```

Results
Calculated total energy (hartree per atom): -1.060


# 10
Below is a crystal of Zn2NiAu relaxed with PBEsol, with properties calculated at the meta-GGA SCAN level.

```
data_Zn2NiAu
_chemical_formula_sum 'Zn4 Ni2 Au2'
_symmetry_space_group_name_H-M 'I -4 m 2'
_symmetry_Int_Tables_number 119
_symmetry_space_group_name_Hall 'I -4 -2'
_cell_length_a 3.693
_cell_length_b 3.693
_cell_length_c 7.902
_cell_angle_alpha 90.00
_cell_angle_beta 90.00
_cell_angle_gamma 90.00
loop_
_atom_site_label
_atom_site_type_symbol
_atom_site_fract_x
_atom_site_fract_y
_atom_site_fract_z
Zn1 Zn 0.000 0.000 0.000
Zn2 Zn 0.000 0.500 0.250
Ni1 Ni 0.000 0.500 0.750
Au1 Au 0.000 0.000 0.500
```

Results
Calculated total energy (hartree per atom): -1.039


# 11
Below is a crystal of ZnNi2Au relaxed with PBEsol, with properties calculated at the meta-GGA SCAN level.

```
data_ZnNi2Au
_chemical_formula_sum 'Zn1 Ni2 Au1'
_symmetry_space_group_name_H-M 'P 4 m m'
_symmetry_Int_Tables_number 99
_symmetry_space_group_name_Hall 'P 4 -2'
_cell_length_a 2.765
_cell_length_b 2.765
_cell_length_c 6.632
_cell_angle_alpha 90.00
_cell_angle_beta 90.00
_cell_angle_gamma 90.00
loop_
_atom_site_label
_atom_site_type_symbol
_atom_site_fract_x
_atom_site_fract_y
_atom_site_fract_z
Zn1 Zn 0.000 0.000 0.000
Ni1 Ni 0.000 0.000 0.564
Ni2 Ni 0.500 0.500 0.774
Au1 Au 0.500 0.500 0.292
```

Results
Calculated total energy (hartree per atom): -1.058


# 12
Below is a crystal of Zn2NiAu relaxed with PBEsol, with properties calculated at the meta-GGA SCAN level.

```
data_Zn2NiAu
_chemical_formula_sum 'Zn4 Ni2 Au2'
_symmetry_space_group_name_H-M 'C m m m'
_symmetry_Int_Tables_number 65
_symmetry_space_group_name_Hall '-C 2 2'
_cell_length_a 5.384
_cell_length_b 6.815
_cell_length_c 2.957
_cell_angle_alpha 90.00
_cell_angle_beta 90.00
_cell_angle_gamma 90.00
loop_
_atom_site_label
_atom_site_type_symbol
_atom_site_fract_x
_atom_site_fract_y
_atom_site_fract_z
Zn1 Zn 0.250 0.250 0.000
Ni1 Ni 0.000 0.000 0.500
Au1 Au 0.000 0.500 0.500
```

Results
Calculated total energy (hartree per atom): -1.039


Here are the calculated DFT formation energy numbers, same order: 0.39; 0.05; 0.03; 0.39; 0.19; 0.20; -0.38; -0.64; -0.08; -0.18; -0.04; -0.18 (eV/atom).
Here are the calculated calculated volume numbers, same order: 15.36; 13.31; 11.76; 14.92; 13.17; 13.60; 13.47; 18.16; 12.64; 13.47; 12.67; 13.56 (A^3/atom).